DFT (GGA-PBE) results for crystalline Ba2NbCl4O2 at its relaxed geometry.

Cell lengths 5.5482, 6.6057, 6.6057 Å; angles 65.41, 77.13, 77.13 degrees
Each line ends with the local moment (μB).
Element x y z (fractional)
Cl 0.7023 0.8341 0.3612  0.01
Cl 0.2977 0.1659 0.6388  0.01
Cl 0.2977 0.6388 0.1659  0.01
Cl 0.7023 0.3612 0.8341  0.01
Ba 0.1826 0.6799 0.6799  0.00
Ba 0.8174 0.3201 0.3201  0.00
O 0.7800 0.8553 0.8553  -0.03
O 0.2200 0.1447 0.1447  -0.03
Nb 0.5000 0.0000 0.0000  0.85

## Properties
Symmetry ... C2/m
ΔE_f (raw) ... -211.1 kJ per mole of atoms
Crystal system ... monoclinic

---

DFT (GGA-PBE) results for crystalline ZrP2Br at its relaxed geometry.

Cell lengths 4.5185, 4.5185, 7.6287 Å; angles 76.42, 76.42, 47.73 degrees
Element x y z (fractional)
P 0.9774 0.9774 0.8666
P 0.8011 0.8011 0.7123
Zr 0.5350 0.5350 0.5945
Br 0.1865 0.1865 0.3266

## Properties
E above lowest polymorph ... 109 meV/atom
Symmetry ... Cm
ΔE_f (raw) ... -59.3 kJ per mole of atoms
Crystal system ... monoclinic

---

DFT (GGA-PBE) results for crystalline YPuIn at its relaxed geometry.

Cell lengths 3.1785, 3.1785, 9.1255 Å; angles 100.03, 100.03, 90.00 degrees
Each line ends with the local moment (μB).
Element x y z (fractional)
In 0.7696 0.7696 0.5393  0.00
Pu 0.9486 0.9486 0.8972  5.98
Y 0.1318 0.1318 0.2635  -0.20

## Properties
E above lowest polymorph ... 407 meV/atom
Formation enthalpy at 0 K ... 0.32 eV/atom
Symmetry ... I4mm
Crystal system ... tetragonal